Run P
This record from the Alexandria database describes an optimized crystal structure of Cr5Ni. The functional is PBE-GGA.

Properties
size of the total moment: 0.0 μB/cell
V: 70 Å³/f.u.

Cell: 4.1713 7.1958 7.1958 Å, 18.79 90.00 90.00°
Atoms (fractional coordinates):
Cr  0.0000  0.0000  0.0000
Cr  0.0000  0.3274  0.3274
Cr  0.5000  0.2342  0.2342
Cr  0.5000  0.5715  0.5715
Cr  0.5000  0.9039  0.9039
Ni  0.0000  0.6680  0.6680

Run Q
This record from the Alexandria database describes an optimized crystal structure of Cr5Ni. The functional is PBE-GGA.

Properties
size of the total moment: 0.0 μB/cell
V: 76 Å³/f.u.

Cell: 4.7080 4.7080 3.9589 Å, 90.00 90.00 120.00°
Atoms (fractional coordinates):
Cr  0.0000  0.5000  0.0000
Cr  0.3333  0.6667  0.5000
Cr  0.5000  0.0000  0.0000
Cr  0.5000  0.5000  0.0000
Cr  0.6667  0.3333  0.5000
Ni  0.0000  0.0000  0.5000

Run R
This record from the Alexandria database describes an optimized crystal structure of Cr5Ni. The functional is PBE-GGA.

Properties
size of the total moment: 0.0 μB/cell
V: 71 Å³/f.u.

Cell: 4.6523 4.6523 4.6523 Å, 60.00 60.00 60.00°
Atoms (fractional coordinates):
Cr  0.0000  0.0000  0.0000
Cr  0.3745  0.3745  0.3745
Cr  0.3745  0.3745  0.8765
Cr  0.3745  0.8765  0.3745
Cr  0.8765  0.3745  0.3745
Ni  0.7500  0.7500  0.7500

Structures ranked by computed energy, the most stable listed first: run P, run R, run Q.

Run P
This record from the Alexandria database describes an optimized crystal structure of Cr5Ni. The functional is PBE-GGA.

Properties
size of the total moment: 3.1 μB/cell
V: 71 Å³/f.u.

Cell: 6.3710 6.3710 2.9260 Å, 90.00 90.00 143.11°
Atoms (fractional coordinates):
Cr  0.0000  0.0000  0.0000
Cr  0.1635  0.8365  0.5000
Cr  0.3297  0.6703  0.0000
Cr  0.6703  0.3297  0.0000
Cr  0.8365  0.1635  0.5000
Ni  0.5000  0.5000  0.5000

Run Q
This record from the Alexandria database describes an optimized crystal structure of Cr5Ni. The functional is PBE-GGA.

Properties
size of the total moment: 0.0 μB/cell
V: 69 Å³/f.u.

Cell: 2.3851 2.3851 12.2130 Å, 90.00 90.00 90.00°
Atoms (fractional coordinates):
Cr  0.0000  0.0000  0.0000
Cr  0.0000  0.0000  0.3440
Cr  0.0000  0.0000  0.6560
Cr  0.5000  0.5000  0.1728
Cr  0.5000  0.5000  0.8272
Ni  0.5000  0.5000  0.5000

Run R
This record from the Alexandria database describes an optimized crystal structure of Cr5Ni. The functional is PBE-GGA.

Properties
size of the total moment: 0.0 μB/cell
V: 69 Å³/f.u.

Cell: 4.9341 4.9341 6.3325 Å, 103.35 103.35 27.64°
Atoms (fractional coordinates):
Cr  0.0000  0.0000  0.0000
Cr  0.0653  0.0653  0.6465
Cr  0.3252  0.3252  0.6752
Cr  0.4031  0.4031  0.3035
Cr  0.6678  0.6678  0.3327
Ni  0.7314  0.7314  0.9700

Structures ranked by computed energy, the most stable listed first: run P, run Q, run R.

Run P
This record from the Alexandria database describes an optimized crystal structure of Cr4Ni5. The functional is PBE-GGA.

Properties
size of the total moment: 0.0 μB/cell
V: 100 Å³/f.u.

Cell: 5.7665 5.7665 5.7665 Å, 94.64 94.64 146.96°
Atoms (fractional coordinates):
Cr  0.0000  0.3354  0.3354
Cr  0.0000  0.6646  0.6646
Cr  0.3354  0.0000  0.3354
Cr  0.6646  0.0000  0.6646
Ni  0.0000  0.0000  0.0000
Ni  0.3335  0.3335  0.6670
Ni  0.3335  0.6665  0.0000
Ni  0.6665  0.3335  0.0000
Ni  0.6665  0.6665  0.3330

Run Q
This record from the Alexandria database describes an optimized crystal structure of Cr4Ni5. The functional is PBE-GGA.

Properties
size of the total moment: 9.7 μB/cell
V: 104 Å³/f.u.

Cell: 6.9667 6.9667 4.9456 Å, 90.00 90.00 120.00°
Atoms (fractional coordinates):
Cr  0.0000  0.0000  0.0000
Cr  0.0000  0.0000  0.5000
Cr  0.0000  0.3209  0.2500
Cr  0.0000  0.6791  0.7500
Cr  0.3209  0.0000  0.2500
Cr  0.3209  0.3209  0.7500
Cr  0.6791  0.0000  0.7500
Cr  0.6791  0.6791  0.2500
Ni  0.0000  0.3421  0.7500
Ni  0.0000  0.6579  0.2500
Ni  0.3333  0.6667  0.0000
Ni  0.3333  0.6667  0.5000
Ni  0.3421  0.0000  0.7500
Ni  0.3421  0.3421  0.2500
Ni  0.6579  0.0000  0.2500
Ni  0.6579  0.6579  0.7500
Ni  0.6667  0.3333  0.0000
Ni  0.6667  0.3333  0.5000

Structures ranked by computed energy, the most stable listed first: run P, run Q.

Run P
This record from the Alexandria database describes an optimized crystal structure of Cr3Ni2. The functional is PBE-GGA.

Properties
size of the total moment: 0.0 μB/cell
V: 57 Å³/f.u.

Cell: 6.4953 4.8293 7.4974 Å, 58.96 39.57 81.47°
Atoms (fractional coordinates):
Cr  0.0000  0.0000  0.0000
Cr  0.2500  0.2500  0.2500
Cr  0.3836  0.5005  0.4127
Cr  0.5005  0.3836  0.7031
Cr  0.5469  0.8373  0.7495
Cr  0.8373  0.5469  0.8664
Ni  0.0919  0.7475  0.3144
Ni  0.4038  0.9356  0.5025
Ni  0.7475  0.0919  0.8462
Ni  0.9356  0.4038  0.1581

Run Q
This record from the Alexandria database describes an optimized crystal structure of Cr3Ni2. The functional is PBE-GGA.

Properties
size of the total moment: 0.0 μB/cell
V: 57 Å³/f.u.

Cell: 10.6983 10.6983 10.6983 Å, 13.34 13.34 13.34°
Atoms (fractional coordinates):
Cr  0.0000  0.0000  0.0000
Cr  0.2013  0.2013  0.2013
Cr  0.7987  0.7987  0.7987
Ni  0.3991  0.3991  0.3991
Ni  0.6009  0.6009  0.6009

Run R
This record from the Alexandria database describes an optimized crystal structure of Cr3Ni2. The functional is PBE-GGA.

Properties
size of the total moment: 1.5 μB/cell
V: 64 Å³/f.u.

Cell: 3.8903 3.8903 4.8633 Å, 90.00 90.00 120.00°
Atoms (fractional coordinates):
Cr  0.0000  0.0000  0.0000
Cr  0.3333  0.6667  0.3881
Cr  0.6667  0.3333  0.6119
Ni  0.3333  0.6667  0.8752
Ni  0.6667  0.3333  0.1248

Structures ranked by computed energy, the most stable listed first: run P, run Q, run R.

Run P
This record from the Alexandria database describes an optimized crystal structure of Cr5Ni3. The functional is PBE-GGA.

Properties
size of the total moment: 0.0 μB/cell
V: 94 Å³/f.u.

Cell: 6.8790 6.8790 6.8790 Å, 95.95 95.95 142.42°
Atoms (fractional coordinates):
Cr  0.0689  0.7722  0.8411
Cr  0.2278  0.0689  0.2967
Cr  0.2500  0.7500  0.5000
Cr  0.2722  0.5689  0.8411
Cr  0.4311  0.2722  0.7033
Cr  0.5689  0.7278  0.2967
Cr  0.7278  0.4311  0.1589
Cr  0.7500  0.2500  0.5000
Cr  0.7722  0.9311  0.7033
Cr  0.9311  0.2278  0.1589
Ni  0.1749  0.3251  0.5000
Ni  0.2500  0.2500  0.0000
Ni  0.3251  0.8251  0.1501
Ni  0.6749  0.1749  0.8499
Ni  0.7500  0.7500  0.0000
Ni  0.8251  0.6749  0.5000

Run Q
This record from the Alexandria database describes an optimized crystal structure of Cr5Ni3. The functional is PBE-GGA.

Properties
size of the total moment: 0.6 μB/cell
V: 91 Å³/f.u.

Cell: 5.1372 5.1372 3.4529 Å, 90.00 90.00 92.48°
Atoms (fractional coordinates):
Cr  0.0000  0.0000  0.0000
Cr  0.0000  0.5000  0.0000
Cr  0.2521  0.7479  0.5000
Cr  0.5000  0.0000  0.0000
Cr  0.7479  0.2521  0.5000
Ni  0.2549  0.2549  0.5000
Ni  0.5000  0.5000  0.0000
Ni  0.7451  0.7451  0.5000

Structures ranked by computed energy, the most stable listed first: run Q, run P.

Run P
This record from the Alexandria database describes an optimized crystal structure of Cr4Ni3. The functional is PBE-GGA.

Properties
size of the total moment: 0.7 μB/cell
V: 80 Å³/f.u.

Cell: 4.5629 4.5629 4.4215 Å, 90.00 90.00 120.00°
Atoms (fractional coordinates):
Cr  0.0000  0.0000  0.2235
Cr  0.0000  0.0000  0.7765
Cr  0.3333  0.6667  0.0000
Cr  0.6667  0.3333  0.0000
Ni  0.0000  0.5000  0.5000
Ni  0.5000  0.0000  0.5000
Ni  0.5000  0.5000  0.5000

Run Q
This record from the Alexandria database describes an optimized crystal structure of Cr4Ni3. The functional is PBE-GGA.

Properties
size of the total moment: 2.1 μB/cell
V: 82 Å³/f.u.

Cell: 9.6949 9.6949 9.6949 Å, 162.56 162.56 24.76°
Atoms (fractional coordinates):
Cr  0.0762  0.0762  0.0000
Cr  0.3552  0.3552  0.0000
Cr  0.6448  0.6448  0.0000
Cr  0.9238  0.9238  0.0000
Ni  0.2155  0.2155  0.0000
Ni  0.5000  0.5000  0.0000
Ni  0.7845  0.7845  0.0000

Structures ranked by computed energy, the most stable listed first: run P, run Q.